(1)
Density functional theory data (PBE-GGA) for a relaxed structure of NaCd2Br5.

Summary:
Total DFT energy (no corrections) (eV for the cell shown): -18.81

Lattice parameters (Å, degrees): 7.1745 7.5426 7.8359 61.23 62.01 90.00
Closest atoms and distances in Å follow each position.
Positions (direct):
Br (0.6403, 0.1018, 0.2875)  2 Cd 2.75-2.83, 1 Na 2.93
Br (0.6403, 0.6107, 0.2875)  2 Cd 2.75-2.83, 1 Na 2.93
Br (0.2907, 0.7373, 0.0008)  2 Cd 2.73-2.82, 1 Na 2.80
Br (0.9049, 0.1733, 0.6534)  2 Cd 2.71-2.72, 1 Na 2.94
Br (0.2907, 0.2619, 0.0008)  2 Cd 2.73-2.82, 1 Na 2.80
Na (0.0069, 0.9924, 0.0153)  5 Br 2.80-2.94
Cd (0.5142, 0.9670, 0.0660)  5 Br 2.72-2.83
Cd (0.9350, 0.3787, 0.2427)  5 Br 2.71-2.82

(2)
Density functional theory data (PBE-GGA) for a relaxed structure of NaCd4Br8.

Summary:
Total DFT energy (no corrections) (eV for the cell shown): -29.24

Lattice parameters (Å, degrees): 8.5282 8.5282 8.5282 60.00 60.00 60.00
Closest atoms and distances in Å follow each position.
Positions (direct):
Na (0.7500, 0.7500, 0.7500)  4 Br 2.88
Cd (0.8890, 0.3703, 0.3703)  6 Br 2.85-2.93
Cd (0.3703, 0.3703, 0.3703)  6 Br 2.85-2.93
Cd (0.3703, 0.3703, 0.8890)  6 Br 2.85-2.93
Cd (0.3703, 0.8890, 0.3703)  6 Br 2.85-2.93
Br (0.1341, 0.5978, 0.1341)  3 Cd 2.85
Br (0.1638, 0.6121, 0.6121)  1 Na 2.88, 3 Cd 2.93
Br (0.6121, 0.1638, 0.6121)  1 Na 2.88, 3 Cd 2.93
Br (0.5978, 0.1341, 0.1341)  3 Cd 2.85
Br (0.6121, 0.6121, 0.1638)  1 Na 2.88, 3 Cd 2.93
Br (0.1341, 0.1341, 0.5978)  3 Cd 2.85
Br (0.1341, 0.1341, 0.1341)  3 Cd 2.85
Br (0.6121, 0.6121, 0.6121)  1 Na 2.88, 3 Cd 2.93

(3)
Density functional theory data (PBE-GGA) for a relaxed structure of Na2CdBr4.

Summary:
Distance to the lowest polymorph of the same formula (meV/atom): 0

Lattice parameters (Å, degrees): 8.5255 8.5319 14.7826 106.80 90.00 119.98
Closest atoms and distances in Å follow each position.
Positions (direct):
Br (0.8812, 0.7527, 0.1240)  1 Cd 2.66
Br (0.1258, 0.7519, 0.8783)  1 Cd 2.66
Br (0.3719, 0.2433, 0.1240)  1 Cd 2.66
Br (0.1285, 0.2473, 0.3760)  1 Cd 2.66
Br (0.1188, 0.2473, 0.8760)  1 Cd 2.66
Br (0.3799, 0.7520, 0.6237)  1 Cd 2.66
Br (0.6279, 0.2480, 0.8763)  1 Cd 2.66
Br (0.8742, 0.2481, 0.1217)  1 Cd 2.66
Br (0.8715, 0.7527, 0.6240)  1 Cd 2.66
Br (0.6261, 0.7519, 0.3783)  1 Cd 2.66
Br (0.6281, 0.7567, 0.8760)  1 Cd 2.66
Br (0.6201, 0.2480, 0.3763)  1 Cd 2.66
Br (0.1286, 0.7567, 0.3760)  1 Cd 2.66
Br (0.8714, 0.2433, 0.6240)  1 Cd 2.66
Br (0.3721, 0.7520, 0.1237)  1 Cd 2.66
Br (0.3739, 0.2481, 0.6217)  1 Cd 2.66
Cd (0.0619, 0.6250, 0.6875)  4 Br 2.66
Cd (0.4369, 0.3750, 0.8125)  4 Br 2.66
Cd (0.5631, 0.6250, 0.1875)  4 Br 2.66
Cd (0.9381, 0.3750, 0.3125)  4 Br 2.66
Na (0.5000, 0.0000, 0.0000)  6 Br 2.99
Na (0.5000, 0.0000, 0.5000)  6 Br 2.99
Na (0.2512, 0.0000, 0.2500)  6 Br 2.99
Na (0.0000, 0.0000, 0.5000)  6 Br 2.99
Na (0.0000, 0.0000, 0.0000)  6 Br 2.99
Na (0.0000, 0.5000, 0.0000)  6 Br 2.99
Na (0.7488, 0.0000, 0.7500)  6 Br 2.99
Na (0.5000, 0.5000, 0.5000)  6 Br 2.99

(4)
Density functional theory data (PBE-GGA) for a relaxed structure of NaCdBr3.

Summary:
Distance to the lowest polymorph of the same formula (meV/atom): 722

Lattice parameters (Å, degrees): 5.3606 5.3606 5.3606 90.00 90.00 90.00
Closest atoms and distances in Å follow each position.
Positions (direct):
Br (0.5000, 0.0000, 0.0000)  2 Na 2.68
Br (0.0000, 0.0000, 0.5000)  2 Na 2.68
Br (0.0000, 0.5000, 0.0000)  2 Na 2.68
Na (0.0000, 0.0000, 0.0000)  6 Br 2.68
Cd (0.5000, 0.5000, 0.5000)  12 Br 3.79

(5)
Density functional theory data (PBE-GGA) for a relaxed structure of Na2CdBr5.

Summary:
Total DFT energy (no corrections) (eV for the cell shown): -40.01

Lattice parameters (Å, degrees): 5.8782 7.9581 12.0863 90.00 90.00 111.67
Closest atoms and distances in Å follow each position.
Positions (direct):
Cd (0.8132, 0.6264, 0.7500)  6 Br 2.69-2.94
Cd (0.1868, 0.3736, 0.2500)  6 Br 2.69-2.94
Br (0.6877, 0.3754, 0.2500)  2 Na 2.90, 2 Cd 2.94
Br (0.6886, 0.3773, 0.5882)  1 Cd 2.69, 3 Na 2.87-2.95
Br (0.9780, 0.9560, 0.6216)  1 Cd 2.89, 1 Na 2.94, 2 Br 3.01-3.10
Br (0.0220, 0.0440, 0.3784)  1 Cd 2.89, 1 Na 2.94, 2 Br 3.01-3.10
Br (0.3114, 0.6227, 0.4118)  1 Cd 2.69, 3 Na 2.87-2.95
Br (0.6886, 0.3773, 0.9118)  1 Cd 2.69, 3 Na 2.87-2.95
Br (0.3114, 0.6227, 0.0882)  1 Cd 2.69, 3 Na 2.87-2.95
Br (0.0220, 0.0440, 0.1216)  1 Cd 2.89, 1 Na 2.94, 2 Br 3.01-3.10
Br (0.3123, 0.6246, 0.7500)  2 Na 2.90, 2 Cd 2.94
Br (0.9780, 0.9560, 0.8784)  1 Cd 2.89, 1 Na 2.94, 2 Br 3.01-3.10
Na (0.1740, 0.3479, 0.9201)  5 Br 2.87-2.95
Na (0.8260, 0.6521, 0.0799)  5 Br 2.87-2.95
Na (0.1740, 0.3479, 0.5799)  5 Br 2.87-2.95
Na (0.8260, 0.6521, 0.4201)  5 Br 2.87-2.95

(6)
Density functional theory data (PBE-GGA) for a relaxed structure of NaCdBr2.

Summary:
Distance to the lowest polymorph of the same formula (meV/atom): 44

Lattice parameters (Å, degrees): 9.1567 9.1567 9.1567 26.66 26.66 26.66
Closest atoms and distances in Å follow each position.
Positions (direct):
Br (0.8968, 0.8968, 0.8968)  1 Cd 2.73, 3 Na 2.96
Br (0.1032, 0.1032, 0.1032)  1 Cd 2.73, 3 Na 2.96
Cd (0.0000, 0.0000, 0.0000)  2 Br 2.73
Na (0.5000, 0.5000, 0.5000)  6 Br 2.96

(7)
Density functional theory data (PBE-GGA) for a relaxed structure of NaCd2Br4.

Summary:
Total DFT energy (no corrections) (eV for the cell shown): -15.66

Lattice parameters (Å, degrees): 6.5794 6.5794 6.3521 90.00 90.00 90.00
Closest atoms and distances in Å follow each position.
Positions (direct):
Na (0.0000, 0.0000, 0.0000)  4 Br 2.89
Br (0.7466, 0.7466, 0.2630)  2 Cd 2.77, 1 Na 2.89
Br (0.2534, 0.7466, 0.7370)  2 Cd 2.77, 1 Na 2.89
Br (0.7466, 0.2534, 0.7370)  2 Cd 2.77, 1 Na 2.89
Br (0.2534, 0.2534, 0.2630)  2 Cd 2.77, 1 Na 2.89
Cd (0.0000, 0.5000, 0.5000)  4 Br 2.77
Cd (0.5000, 0.0000, 0.5000)  4 Br 2.77

(8)
Density functional theory data (PBE-GGA) for a relaxed structure of Na2NbCdBr.

Summary:
Total DFT energy (no corrections) (eV for the cell shown): -12.58

Lattice parameters (Å, degrees): 6.2526 5.0571 6.2526 90.00 90.00 90.00
Closest atoms and distances in Å follow each position.
Positions (direct):
Br (0.0000, 0.5000, 0.0000)  2 Nb 2.53
Na (0.0000, 0.0000, 0.5000)  2 Nb 3.13
Na (0.5000, 0.0000, 0.0000)  2 Nb 3.13
Nb (0.0000, 0.0000, 0.0000)  2 Br 2.53
Cd (0.5000, 0.5000, 0.5000)  8 Na 4.02, 4 Br 4.42

Copy entry 8 word for word.
Density functional theory data (PBE-GGA) for a relaxed structure of Na2NbCdBr.

Summary:
Total DFT energy (no corrections) (eV for the cell shown): -12.58

Lattice parameters (Å, degrees): 6.2526 5.0571 6.2526 90.00 90.00 90.00
Closest atoms and distances in Å follow each position.
Positions (direct):
Br (0.0000, 0.5000, 0.0000)  2 Nb 2.53
Na (0.0000, 0.0000, 0.5000)  2 Nb 3.13
Na (0.5000, 0.0000, 0.0000)  2 Nb 3.13
Nb (0.0000, 0.0000, 0.0000)  2 Br 2.53
Cd (0.5000, 0.5000, 0.5000)  8 Na 4.02, 4 Br 4.42